(1)
A relaxed GaI2NF crystal, computed with PBE-GGA.

a b c (Å): 6.5593 6.5593 3.4177
angles (deg): 90.00 90.00 90.00
Sites, in units of the cell vectors:
Ga (0.0000, 0.0000, 0.0000)
I (0.0000, 0.5000, 0.5000)
I (0.5000, 0.0000, 0.5000)
N (0.5000, 0.5000, 0.0000)
F (0.5000, 0.5000, 0.5000)

total DFT energy (no corrections): -2.460 eV/atom
relative energy among the computed polymorphs: 337 meV per atom
symmetry: P4/mmm (123)

***

(2)
A relaxed GaIN2F crystal, computed with PBE-GGA.

a b c (Å): 5.0617 5.0617 4.5076
angles (deg): 90.00 90.00 90.00
Sites, in units of the cell vectors:
Ga (0.0000, 0.0000, 0.0000)
I (0.5000, 0.5000, 0.0000)
N (0.0000, 0.5000, 0.5000)
N (0.5000, 0.0000, 0.5000)
F (0.5000, 0.5000, 0.5000)

total DFT energy (no corrections): -2.852 eV/atom
relative energy among the computed polymorphs: 1183 meV per atom
symmetry: P4/mmm (123)

***

(3)
A relaxed GaIN2F crystal, computed with PBE-GGA.

a b c (Å): 3.8777 3.8777 6.1127
angles (deg): 90.00 90.00 90.00
Sites, in units of the cell vectors:
Ga (0.0000, 0.0000, 0.0000)
I (0.0000, 0.0000, 0.5000)
N (0.0000, 0.5000, 0.0000)
N (0.5000, 0.0000, 0.0000)
F (0.5000, 0.5000, 0.5000)

total DFT energy (no corrections): -3.553 eV/atom
relative energy among the computed polymorphs: 481 meV per atom
symmetry: P4/mmm (123)

***

(4)
A relaxed GaIN2F crystal, computed with PBE-GGA.

a b c (Å): 4.0825 4.0825 4.8671
angles (deg): 90.00 90.00 90.00
Sites, in units of the cell vectors:
Ga (0.0000, 0.0000, 0.0000)
I (0.5000, 0.5000, 0.5000)
N (0.0000, 0.5000, 0.5000)
N (0.5000, 0.0000, 0.5000)
F (0.5000, 0.5000, 0.0000)

total DFT energy (no corrections): -3.589 eV/atom
relative energy among the computed polymorphs: 446 meV per atom
symmetry: P4/mmm (123)

***

(5)
A relaxed GaIN2F crystal, computed with PBE-GGA.

a b c (Å): 4.0941 4.0941 3.8431
angles (deg): 90.00 90.00 90.00
Sites, in units of the cell vectors:
Ga (0.0000, 0.0000, 0.0000)
I (0.5000, 0.5000, 0.5000)
N (0.0000, 0.5000, 0.0000)
N (0.5000, 0.0000, 0.0000)
F (0.0000, 0.0000, 0.5000)

total DFT energy (no corrections): -4.035 eV/atom
relative energy among the computed polymorphs: 0 meV per atom
symmetry: P4/mmm (123)

***

(6)
A relaxed GaI2NF crystal, computed with PBE-GGA.

a b c (Å): 5.8914 5.8914 3.5267
angles (deg): 90.00 90.00 90.00
Sites, in units of the cell vectors:
Ga (0.0000, 0.0000, 0.0000)
I (0.0000, 0.5000, 0.0000)
I (0.5000, 0.0000, 0.0000)
N (0.0000, 0.0000, 0.5000)
F (0.5000, 0.5000, 0.5000)

total DFT energy (no corrections): -2.797 eV/atom
relative energy among the computed polymorphs: 0 meV per atom
symmetry: P4/mmm (123)

***

(7)
A relaxed GaIO2F crystal, computed with PBE-GGA.

a b c (Å): 4.7601 4.7601 4.2370
angles (deg): 90.00 90.00 90.00
Sites, in units of the cell vectors:
Ga (0.0000, 0.0000, 0.0000)
I (0.5000, 0.5000, 0.0000)
O (0.0000, 0.5000, 0.5000)
O (0.5000, 0.0000, 0.5000)
F (0.5000, 0.5000, 0.5000)

total DFT energy (no corrections): -2.692 eV/atom
symmetry: P4/mmm (123)

***

(8)
A relaxed GaI2OF crystal, computed with PBE-GGA.

a b c (Å): 5.9193 5.9193 3.4318
angles (deg): 90.00 90.00 90.00
Sites, in units of the cell vectors:
Ga (0.0000, 0.0000, 0.0000)
I (0.0000, 0.5000, 0.0000)
I (0.5000, 0.0000, 0.0000)
O (0.0000, 0.0000, 0.5000)
F (0.5000, 0.5000, 0.5000)

total DFT energy (no corrections): -2.978 eV/atom
relative energy among the computed polymorphs: 0 meV per atom
symmetry: P4/mmm (123)

***

(9)
A relaxed GaI2OF crystal, computed with PBE-GGA.

a b c (Å): 5.0500 5.0500 4.5354
angles (deg): 90.00 90.00 90.00
Sites, in units of the cell vectors:
Ga (0.0000, 0.0000, 0.0000)
I (0.0000, 0.5000, 0.5000)
I (0.5000, 0.0000, 0.5000)
O (0.5000, 0.5000, 0.0000)
F (0.5000, 0.5000, 0.5000)

total DFT energy (no corrections): -2.171 eV/atom
relative energy among the computed polymorphs: 807 meV per atom
symmetry: P4/mmm (123)

***

(10)
A relaxed GaIO2F crystal, computed with PBE-GGA.

a b c (Å): 4.0511 4.0511 3.9323
angles (deg): 90.00 90.00 90.00
Sites, in units of the cell vectors:
Ga (0.0000, 0.0000, 0.0000)
I (0.5000, 0.5000, 0.5000)
O (0.0000, 0.5000, 0.0000)
O (0.5000, 0.0000, 0.0000)
F (0.0000, 0.0000, 0.5000)

total DFT energy (no corrections): -4.030 eV/atom
symmetry: P4/mmm (123)

***

(11)
A relaxed GaIO2F crystal, computed with PBE-GGA.

a b c (Å): 4.0545 4.0545 5.5454
angles (deg): 90.00 90.00 90.00
Sites, in units of the cell vectors:
Ga (0.0000, 0.0000, 0.0000)
I (0.5000, 0.5000, 0.5000)
O (0.0000, 0.5000, 0.5000)
O (0.5000, 0.0000, 0.5000)
F (0.5000, 0.5000, 0.0000)

total DFT energy (no corrections): -3.737 eV/atom
symmetry: P4/mmm (123)

***

(12)
A relaxed GaIOF2 crystal, computed with PBE-GGA.

a b c (Å): 3.9136 3.9136 4.6096
angles (deg): 90.00 90.00 90.00
Sites, in units of the cell vectors:
Ga (0.0000, 0.0000, 0.0000)
I (0.5000, 0.5000, 0.5000)
O (0.0000, 0.0000, 0.5000)
F (0.0000, 0.5000, 0.0000)
F (0.5000, 0.0000, 0.0000)

total DFT energy (no corrections): -3.739 eV/atom
relative energy among the computed polymorphs: 0 meV per atom
symmetry: P4/mmm (123)

***

(13)
A relaxed GaIOF2 crystal, computed with PBE-GGA.

a b c (Å): 4.9586 4.9586 4.0607
angles (deg): 90.00 90.00 90.00
Sites, in units of the cell vectors:
Ga (0.0000, 0.0000, 0.0000)
I (0.5000, 0.5000, 0.5000)
O (0.5000, 0.5000, 0.0000)
F (0.0000, 0.5000, 0.5000)
F (0.5000, 0.0000, 0.5000)

total DFT energy (no corrections): -3.327 eV/atom
relative energy among the computed polymorphs: 412 meV per atom
symmetry: P4/mmm (123)

***

(14)
A relaxed GaIO2F crystal, computed with PBE-GGA.

a b c (Å): 3.6945 3.6945 6.8812
angles (deg): 90.00 90.00 90.00
Sites, in units of the cell vectors:
Ga (0.0000, 0.0000, 0.0000)
I (0.0000, 0.0000, 0.5000)
O (0.0000, 0.5000, 0.0000)
O (0.5000, 0.0000, 0.0000)
F (0.5000, 0.5000, 0.5000)

total DFT energy (no corrections): -3.795 eV/atom
symmetry: P4/mmm (123)

***

(15)
A relaxed GaPbIF2 crystal, computed with PBE-GGA.

a b c (Å): 4.6630 4.6630 6.3602
angles (deg): 90.00 90.00 90.00
Sites, in units of the cell vectors:
Ga (0.0000, 0.0000, 0.0000)
Pb (0.5000, 0.5000, 0.0000)
I (0.5000, 0.5000, 0.5000)
F (0.0000, 0.5000, 0.5000)
F (0.5000, 0.0000, 0.5000)

total DFT energy (no corrections): -2.854 eV/atom
symmetry: P4/mmm (123)

***

(16)
A relaxed Rb2GaIF6 crystal, computed with PBE-GGA.

a b c (Å): 6.5554 6.5554 6.5554
angles (deg): 114.12 114.12 100.52
Sites, in units of the cell vectors:
Rb (0.2500, 0.7500, 0.5000)
Rb (0.7500, 0.2500, 0.5000)
Ga (0.0000, 0.0000, 0.0000)
I (0.5000, 0.5000, 0.0000)
F (0.1858, 0.1858, 0.3716)
F (0.1858, 0.8142, 0.0000)
F (0.2463, 0.2463, 0.0000)
F (0.7537, 0.7537, 0.0000)
F (0.8142, 0.1858, 0.0000)
F (0.8142, 0.8142, 0.6284)

total DFT energy (no corrections): -4.073 eV/atom
symmetry: I4/mmm (139)

***

(17)
A relaxed RbGaI2F crystal, computed with PBE-GGA.

a b c (Å): 6.0289 6.0289 4.3203
angles (deg): 90.00 90.00 90.00
Sites, in units of the cell vectors:
Rb (0.0000, 0.0000, 0.0000)
Ga (0.5000, 0.5000, 0.5000)
I (0.0000, 0.5000, 0.5000)
I (0.5000, 0.0000, 0.5000)
F (0.5000, 0.5000, 0.0000)

total DFT energy (no corrections): -3.080 eV/atom
relative energy among the computed polymorphs: 0 meV per atom
symmetry: P4/mmm (123)

***

(18)
A relaxed GaS2I2F2 crystal, computed with PBE-GGA.

a b c (Å): 12.3116 4.1899 9.1236
angles (deg): 90.00 120.58 90.00
Sites, in units of the cell vectors:
Ga (0.0000, 0.0000, 0.0000)
Ga (0.5000, 0.5000, 0.0000)
S (0.0323, 0.5000, 0.6179)
S (0.4677, 0.0000, 0.3821)
S (0.5323, 0.0000, 0.6179)
S (0.9677, 0.5000, 0.3821)
I (0.1461, 0.5000, 0.2432)
I (0.3539, 0.0000, 0.7568)
I (0.6461, 0.0000, 0.2432)
I (0.8539, 0.5000, 0.7568)
F (0.1084, 0.0000, 0.9239)
F (0.3916, 0.5000, 0.0761)
F (0.6084, 0.5000, 0.9239)
F (0.8916, 0.0000, 0.0761)

total DFT energy (no corrections): -3.375 eV/atom
symmetry: C2/m (12)

***

(19)
A relaxed GaSbI2F crystal, computed with PBE-GGA.

a b c (Å): 6.1076 6.1076 4.2348
angles (deg): 90.00 90.00 90.00
Sites, in units of the cell vectors:
Ga (0.0000, 0.0000, 0.0000)
Sb (0.5000, 0.5000, 0.0000)
I (0.0000, 0.5000, 0.5000)
I (0.5000, 0.0000, 0.5000)
F (0.5000, 0.5000, 0.5000)

total DFT energy (no corrections): -2.799 eV/atom
relative energy among the computed polymorphs: 0 meV per atom
symmetry: P4/mmm (123)

***

(20)
A relaxed GaSb2IF crystal, computed with PBE-GGA.

a b c (Å): 4.7242 4.7242 6.4274
angles (deg): 90.00 90.00 90.00
Sites, in units of the cell vectors:
Ga (0.0000, 0.0000, 0.0000)
Sb (0.0000, 0.5000, 0.5000)
Sb (0.5000, 0.0000, 0.5000)
I (0.5000, 0.5000, 0.0000)
F (0.5000, 0.5000, 0.5000)

total DFT energy (no corrections): -3.071 eV/atom
relative energy among the computed polymorphs: 0 meV per atom
symmetry: P4/mmm (123)

***

| no. | N(E_F) (states/eV per atom) |
| --- | --- |
| 1 | 0.4356 |
| 2 | 0.2246 |
| 3 | 0.7709 |
| 4 | 0.4632 |
| 5 | 0.4421 |
| 6 | 2.1417 |
| 7 | 0.9109 |
| 8 | 1.7277 |
| 9 | 1.0738 |
| 10 | 0.6014 |
| 11 | 0.2500 |
| 12 | 0.3271 |
| 13 | 0.4023 |
| 14 | 0.5355 |
| 15 | 0.5275 |
| 16 | 0.0000 |
| 17 | 0.2911 |
| 18 | 0.0104 |
| 19 | 0.3651 |
| 20 | 0.5507 |